Entry 1:
# ReBi3I SCAN single point on PBEsol structure
data_ReBi3I
_cell_length_a 5.327
_cell_length_b 5.327
_cell_length_c 5.327
_cell_angle_alpha 90.00
_cell_angle_beta 90.00
_cell_angle_gamma 90.00
_space_group_name_H-M_alt 'P 1'
_space_group_IT_number 1
loop_
_space_group_symop_operation_xyz
'x,y,z'
loop_
_atom_site_label
_atom_site_type_symbol
_atom_site_fract_x
_atom_site_fract_y
_atom_site_fract_z
I1 I 0.500 0.500 0.500
Re1 Re 0.000 0.000 0.000
Bi1 Bi 0.000 0.500 0.000
Bi2 Bi 0.000 0.000 0.500
Bi3 Bi 0.500 0.000 0.000
# **Formation energy from raw total energies**: 0.644 eV per atom
# **SG**: Pm-3m
# **Total energy**: -68.0720 eV/atom
# **D(E_F)**: 1.0754 states/eV per atom



Entry 2:
# SrSi2Os SCAN single point on PBEsol structure
data_SrSi2Os
_cell_length_a 3.176
_cell_length_b 3.176
_cell_length_c 7.099
_cell_angle_alpha 90.00
_cell_angle_beta 90.00
_cell_angle_gamma 90.00
_space_group_name_H-M_alt 'P 1'
_space_group_IT_number 1
loop_
_space_group_symop_operation_xyz
'x,y,z'
loop_
_atom_site_label
_atom_site_type_symbol
_atom_site_fract_x
_atom_site_fract_y
_atom_site_fract_z
Os1 Os 0.500 0.500 0.839
Si1 Si 0.000 0.000 0.978
Si2 Si 0.500 0.500 0.182
Sr1 Sr 0.000 0.000 0.501
# **Formation energy from raw total energies**: -0.050 eV per atom
# **SG**: P4mm
# **Total energy**: -28.5969 eV/atom
# **D(E_F)**: 0.5019 states/eV per atom



Entry 3:
# ZnReCl2 SCAN single point on PBEsol structure
data_ZnReCl2
_cell_length_a 2.861
_cell_length_b 4.478
_cell_length_c 6.242
_cell_angle_alpha 111.02
_cell_angle_beta 103.25
_cell_angle_gamma 90.00
_space_group_name_H-M_alt 'P 1'
_space_group_IT_number 1
loop_
_space_group_symop_operation_xyz
'x,y,z'
loop_
_atom_site_label
_atom_site_type_symbol
_atom_site_fract_x
_atom_site_fract_y
_atom_site_fract_z
Re1 Re 0.492 0.492 0.985
Zn1 Zn 0.182 0.682 0.364
Cl1 Cl 0.004 0.004 0.009
Cl2 Cl 0.821 0.321 0.642
# **Formation energy from raw total energies**: 0.434 eV per atom
# **Distance to the lowest polymorph of the same formula**: 367.7 meV/atom
# **SG**: Imm2
# **Total energy**: -24.7080 eV/atom
# **D(E_F)**: 0.3034 states/eV per atom



Entry 4:
# LiSc2P SCAN single point on PBEsol structure
data_LiSc2P
_cell_length_a 4.567
_cell_length_b 4.567
_cell_length_c 4.567
_cell_angle_alpha 60.00
_cell_angle_beta 60.00
_cell_angle_gamma 60.00
_space_group_name_H-M_alt 'P 1'
_space_group_IT_number 1
loop_
_space_group_symop_operation_xyz
'x,y,z'
loop_
_atom_site_label
_atom_site_type_symbol
_atom_site_fract_x
_atom_site_fract_y
_atom_site_fract_z
Li1 Li 0.500 0.500 0.500
P1 P 0.250 0.250 0.250
Sc1 Sc 0.000 0.000 0.000
Sc2 Sc 0.750 0.750 0.750
# **SG**: F-43m
# **Total energy**: -10.4338 eV/atom
# **D(E_F)**: 0.8671 states/eV per atom